Tl2CrSeO6 (GGA+U, optimized geometry); final energy = -5.374 eV per atom; Fermi-level density of states = 4.48 states/eV/cell; size of the total moment = 2.46 μB/f.u.; space group = P-3m1; V = 157.39 Å³ per cell
1.0
-0.278 -3.968 3.312
-3.096 -3.108 -3.984
5.915 -0.347 0.081
O Tl Se Cr
6 2 1 1
direct
0.777 0.720 0.860
0.223 0.860 0.720
0.223 0.860 0.140
0.777 0.140 0.860
0.777 0.140 0.280
0.223 0.280 0.140
0.830 0.667 0.333
0.170 0.333 0.667
0.000 0.000 0.000
0.500 0.000 0.000